(1)
VASP calculation (PBE-GGA) on an optimized crystal structure of FeBiHPd2.

Unit cell a=4.104 b=4.104 c=4.232 alpha=90.00 beta=90.00 gamma=90.00
Element x y z (fractional)
Fe  0.000  0.000  0.000
Bi  0.500  0.500  0.000
H  0.000  0.000  0.500
Pd  0.000  0.500  0.500
Pd  0.500  0.000  0.500

Results
Final energy: -0.1898 Ha/atom
Symmetry: P4/mmm
Total magnetization: 2.90 μB per cell
Mass density: 11.2 Mg/m³


(2)
VASP calculation (PBE-GGA) on an optimized crystal structure of Ca2Al2P.

Unit cell a=6.945 b=6.945 c=4.832 alpha=90.00 beta=90.00 gamma=90.00
Element x y z (fractional)
Ca  0.170  0.330  0.000
Ca  0.330  0.830  0.000
Ca  0.670  0.170  0.000
Ca  0.830  0.670  0.000
Al  0.135  0.635  0.500
Al  0.365  0.135  0.500
Al  0.635  0.865  0.500
Al  0.865  0.365  0.500
P  0.000  0.000  0.500
P  0.500  0.500  0.500

Results
Final energy: -0.1338 Ha/atom
Symmetry: P4/mbm
Total magnetization: 0.00 μB per cell
ΔE_f: -25 kJ per mole of atoms
Mass density: 2.4 Mg/m³


(3)
VASP calculation (PBE-GGA) on an optimized crystal structure of Rb2Ca3HoF12.

Unit cell a=8.314 b=8.314 c=8.314 alpha=58.25 beta=58.25 gamma=58.25
Element x y z (fractional)
Rb  0.098  0.098  0.098
Rb  0.902  0.902  0.902
Ca  0.000  0.500  0.500
Ca  0.500  0.000  0.500
Ca  0.500  0.500  0.000
Ho  0.500  0.500  0.500
F  0.162  0.162  0.592
F  0.162  0.592  0.162
F  0.187  0.565  0.565
F  0.408  0.838  0.838
F  0.435  0.435  0.813
F  0.435  0.813  0.435
F  0.565  0.187  0.565
F  0.565  0.565  0.187
F  0.592  0.162  0.162
F  0.813  0.435  0.435
F  0.838  0.408  0.838
F  0.838  0.838  0.408

Results
Raw formation energy: -3.43 eV/atom
Final energy: -0.1974 Ha/atom
Symmetry: R-3m
Total magnetization: 1.30 μB per cell
Mass density: 2.9 Mg/m³


(4)
VASP calculation (PBE-GGA) on an optimized crystal structure of Sr2Zn2PbO6.

Unit cell a=5.603 b=5.603 c=5.866 alpha=90.00 beta=90.00 gamma=120.00
Element x y z (fractional)
Sr  0.333  0.667  0.000
Sr  0.667  0.333  0.000
Zn  0.333  0.667  0.500
Zn  0.667  0.333  0.500
Pb  0.000  0.000  0.500
O  0.000  0.342  0.296
O  0.000  0.658  0.704
O  0.342  0.000  0.296
O  0.342  0.342  0.704
O  0.658  0.000  0.704
O  0.658  0.658  0.296

Results
Raw formation energy: -1.66 eV/atom
Final energy: -0.1925 Ha/atom
Symmetry: P-31m
Total magnetization: 0.00 μB per cell
Mass density: 6.3 Mg/m³


(5)
VASP calculation (PBE-GGA) on an optimized crystal structure of CeSmDy5Tm2.

Unit cell a=11.058 b=11.058 c=9.555 alpha=90.00 beta=90.00 gamma=150.26
Element x y z (fractional)
Ce  0.193  0.807  0.500
Ce  0.807  0.193  0.000
Sm  0.403  0.597  0.901
Sm  0.597  0.403  0.401
Dy  0.013  0.987  0.491
Dy  0.267  0.733  0.809
Dy  0.306  0.694  0.191
Dy  0.393  0.607  0.518
Dy  0.471  0.529  0.223
Dy  0.529  0.471  0.723
Dy  0.607  0.393  0.018
Dy  0.694  0.306  0.691
Dy  0.733  0.267  0.309
Dy  0.987  0.013  0.991
Tm  0.113  0.887  0.800
Tm  0.135  0.865  0.184
Tm  0.865  0.135  0.684
Tm  0.887  0.113  0.300

Results
Final energy: -0.1675 Ha/atom
Symmetry: Cmc2_1
Total magnetization: 1.47 μB per cell
ΔE_f: 17 kJ per mole of atoms
Mass density: 8.3 Mg/m³


(6)
VASP calculation (PBE-GGA) on an optimized crystal structure of ScTl3In3I8.

Unit cell a=9.892 b=9.892 c=9.892 alpha=60.09 beta=60.09 gamma=60.09
Element x y z (fractional)
Sc  0.000  0.000  0.000
Tl  0.000  0.000  0.500
Tl  0.000  0.500  0.000
Tl  0.500  0.000  0.000
In  0.000  0.500  0.500
In  0.500  0.000  0.500
In  0.500  0.500  0.000
I  0.215  0.215  0.783
I  0.215  0.783  0.215
I  0.217  0.785  0.785
I  0.251  0.251  0.251
I  0.749  0.749  0.749
I  0.783  0.215  0.215
I  0.785  0.217  0.785
I  0.785  0.785  0.217

Results
Raw formation energy: -0.64 eV/atom
Final energy: -0.1070 Ha/atom
Symmetry: R-3m
Total magnetization: 0.79 μB per cell
Mass density: 4.9 Mg/m³


(7)
VASP calculation (PBE-GGA) on an optimized crystal structure of TiMn.

Unit cell a=6.129 b=6.129 c=6.129 alpha=109.47 beta=109.47 gamma=109.47
Element x y z (fractional)
Ti  0.000  0.000  0.554
Ti  0.000  0.554  0.000
Ti  0.446  0.446  0.446
Ti  0.554  0.000  0.000
Mn  0.000  0.000  0.240
Mn  0.000  0.240  0.000
Mn  0.240  0.000  0.000
Mn  0.760  0.760  0.760

Results
Final energy: -0.2683 Ha/atom
Symmetry: I-43m
Total magnetization: 3.50 μB per cell
ΔE_f: 119 kJ per mole of atoms
Mass density: 3.9 Mg/m³


(8)
VASP calculation (PBE-GGA) on an optimized crystal structure of Ac3In7Ga4.

Unit cell a=9.290 b=9.290 c=10.987 alpha=125.01 beta=125.01 gamma=29.14
Element x y z (fractional)
Ac  0.000  0.000  0.000
Ac  0.320  0.320  0.310
Ac  0.680  0.680  0.690
In  0.000  0.000  0.500
In  0.162  0.162  0.427
In  0.325  0.325  0.969
In  0.490  0.490  0.712
In  0.510  0.510  0.288
In  0.675  0.675  0.031
In  0.838  0.838  0.573
Ga  0.130  0.130  0.856
Ga  0.339  0.339  0.730
Ga  0.661  0.661  0.270
Ga  0.870  0.870  0.144

Results
Final energy: -0.1285 Ha/atom
Symmetry: C2/m
Total magnetization: 0.00 μB per cell
ΔE_f: -37 kJ per mole of atoms
Mass density: 7.9 Mg/m³


(9)
VASP calculation (PBE-GGA) on an optimized crystal structure of La2Nd5SmEr.

Unit cell a=10.362 b=10.362 c=10.362 alpha=130.16 beta=130.16 gamma=73.15
Element x y z (fractional)
La  0.121  0.621  0.741
La  0.379  0.121  0.500
La  0.621  0.879  0.500
La  0.879  0.379  0.259
Nd  0.000  0.000  0.000
Nd  0.076  0.136  0.500
Nd  0.136  0.636  0.060
Nd  0.364  0.424  0.500
Nd  0.424  0.924  0.060
Nd  0.500  0.500  0.000
Nd  0.576  0.076  0.940
Nd  0.636  0.576  0.500
Nd  0.864  0.364  0.940
Nd  0.924  0.864  0.500
Sm  0.250  0.250  0.000
Sm  0.750  0.750  0.000
Er  0.250  0.750  0.500
Er  0.750  0.250  0.500

Results
Final energy: -0.1664 Ha/atom
Symmetry: I4/mcm
Total magnetization: 0.00 μB per cell
ΔE_f: 24 kJ per mole of atoms
Mass density: 6.9 Mg/m³


(10)
VASP calculation (PBE-GGA) on an optimized crystal structure of Li2Ta2CoSe6.

Unit cell a=6.281 b=6.281 c=6.889 alpha=96.99 beta=96.99 gamma=121.87
Element x y z (fractional)
Li  0.188  0.812  0.000
Li  0.812  0.188  0.000
Ta  0.364  0.636  0.500
Ta  0.636  0.364  0.500
Co  0.000  0.000  0.500
Se  0.049  0.389  0.716
Se  0.230  0.230  0.245
Se  0.389  0.049  0.716
Se  0.611  0.951  0.284
Se  0.770  0.770  0.755
Se  0.951  0.611  0.284

Results
Raw formation energy: -0.72 eV/atom
Final energy: -0.2121 Ha/atom
Symmetry: C2/m
Total magnetization: 0.97 μB per cell
Mass density: 6.8 Mg/m³


(11)
VASP calculation (PBE-GGA) on an optimized crystal structure of Tl3Fe2I8.

Unit cell a=9.180 b=9.180 c=8.371 alpha=107.66 beta=107.66 gamma=64.25
Element x y z (fractional)
Tl  0.000  0.000  0.000
Tl  0.284  0.716  0.500
Tl  0.716  0.284  0.500
Fe  0.310  0.310  0.863
Fe  0.690  0.690  0.137
I  0.128  0.128  0.721
I  0.146  0.586  0.761
I  0.347  0.347  0.189
I  0.414  0.854  0.239
I  0.586  0.146  0.761
I  0.653  0.653  0.811
I  0.854  0.414  0.239
I  0.872  0.872  0.279

Results
Raw formation energy: -0.38 eV/atom
Final energy: -0.1168 Ha/atom
Symmetry: C2/m
Total magnetization: 9.00 μB per cell
Mass density: 4.9 Mg/m³


(12)
VASP calculation (PBE-GGA) on an optimized crystal structure of YCrRu.

Unit cell a=4.549 b=4.549 c=4.549 alpha=60.00 beta=60.00 gamma=60.00
Element x y z (fractional)
Y  0.000  0.000  0.000
Cr  0.250  0.250  0.250
Ru  0.750  0.750  0.750

Results
Polymorph energy (0 for the lowest one): 1025 meV per atom
Final energy: -0.2707 Ha/atom
Symmetry: F-43m
Total magnetization: 4.07 μB per cell
ΔE_f: 105 kJ per mole of atoms
Mass density: 6.0 Mg/m³


(13)
VASP calculation (PBE-GGA) on an optimized crystal structure of Nd2Hf3Ge4.

Unit cell a=7.486 b=7.482 c=7.334 alpha=90.00 beta=109.66 gamma=90.00
Element x y z (fractional)
Nd  0.187  0.170  0.064
Nd  0.187  0.330  0.564
Nd  0.813  0.670  0.436
Nd  0.813  0.830  0.936
Hf  0.254  0.669  0.249
Hf  0.254  0.831  0.749
Hf  0.500  0.000  0.500
Hf  0.500  0.500  0.000
Hf  0.746  0.169  0.251
Hf  0.746  0.331  0.751
Ge  0.088  0.541  0.860
Ge  0.088  0.959  0.360
Ge  0.494  0.134  0.862
Ge  0.494  0.366  0.362
Ge  0.506  0.634  0.638
Ge  0.506  0.866  0.138
Ge  0.912  0.041  0.640
Ge  0.912  0.459  0.140

Results
Final energy: -0.2655 Ha/atom
Symmetry: P2_1/c
Total magnetization: 0.00 μB per cell
ΔE_f: -77 kJ per mole of atoms
Mass density: 9.6 Mg/m³


(14)
VASP calculation (PBE-GGA) on an optimized crystal structure of Y6Te3AsSe2.

Unit cell a=7.274 b=7.274 c=7.456 alpha=99.36 beta=99.36 gamma=119.98
Element x y z (fractional)
Y  0.072  0.399  0.215
Y  0.255  0.255  0.783
Y  0.399  0.072  0.215
Y  0.601  0.928  0.785
Y  0.745  0.745  0.217
Y  0.928  0.601  0.785
Te  0.168  0.832  0.500
Te  0.500  0.500  0.500
Te  0.832  0.168  0.500
As  0.000  0.000  0.000
Se  0.334  0.666  0.000
Se  0.666  0.334  0.000

Results
Raw formation energy: -1.55 eV/atom
Final energy: -0.2402 Ha/atom
Symmetry: C2/m
Total magnetization: 0.00 μB per cell
Mass density: 5.9 Mg/m³


(15)
VASP calculation (PBE-GGA) on an optimized crystal structure of SrCd12Au6.

Unit cell a=7.977 b=7.977 c=7.977 alpha=105.05 beta=105.05 gamma=105.05
Element x y z (fractional)
Sr  0.000  0.000  0.000
Cd  0.114  0.500  0.886
Cd  0.114  0.886  0.500
Cd  0.147  0.399  0.399
Cd  0.399  0.147  0.399
Cd  0.399  0.399  0.147
Cd  0.500  0.114  0.886
Cd  0.500  0.886  0.114
Cd  0.601  0.601  0.853
Cd  0.601  0.853  0.601
Cd  0.853  0.601  0.601
Cd  0.886  0.114  0.500
Cd  0.886  0.500  0.114
Au  0.277  0.277  0.707
Au  0.277  0.707  0.277
Au  0.293  0.723  0.723
Au  0.707  0.277  0.277
Au  0.723  0.293  0.723
Au  0.723  0.723  0.293

Results
Final energy: -0.0697 Ha/atom
Symmetry: R-3m
Total magnetization: 0.00 μB per cell
ΔE_f: -19 kJ per mole of atoms
Mass density: 9.8 Mg/m³


(16)
VASP calculation (PBE-GGA) on an optimized crystal structure of Pm7Hg3C2.

Unit cell a=12.502 b=12.502 c=5.031 alpha=90.00 beta=90.00 gamma=156.62
Element x y z (fractional)
Pm  0.000  0.000  0.000
Pm  0.103  0.897  0.500
Pm  0.204  0.796  0.000
Pm  0.400  0.600  0.000
Pm  0.600  0.400  0.000
Pm  0.796  0.204  0.000
Pm  0.897  0.103  0.500
Hg  0.300  0.700  0.500
Hg  0.500  0.500  0.500
Hg  0.700  0.300  0.500
C  0.107  0.893  0.000
C  0.893  0.107  0.000

Results
Final energy: -0.1717 Ha/atom
Symmetry: Cmmm
Total magnetization: 0.00 μB per cell
ΔE_f: -28 kJ per mole of atoms
Mass density: 8.7 Mg/m³


(17)
VASP calculation (PBE-GGA) on an optimized crystal structure of ReBi3Ir.

Unit cell a=5.220 b=5.220 c=5.220 alpha=90.00 beta=90.00 gamma=90.00
Element x y z (fractional)
Re  0.000  0.000  0.000
Bi  0.000  0.000  0.500
Bi  0.000  0.500  0.000
Bi  0.500  0.000  0.000
Ir  0.500  0.500  0.500

Results
Polymorph energy (0 for the lowest one): 0 meV per atom
Final energy: -0.1926 Ha/atom
Symmetry: Pm-3m
Total magnetization: 0.00 μB per cell
ΔE_f: 130 kJ per mole of atoms
Mass density: 11.7 Mg/m³


(18)
VASP calculation (PBE-GGA) on an optimized crystal structure of Ac7SmY2.

Unit cell a=9.705 b=9.705 c=6.112 alpha=90.00 beta=90.00 gamma=117.01
Element x y z (fractional)
Ac  0.000  0.000  0.000
Ac  0.193  0.438  0.000
Ac  0.261  0.739  0.500
Ac  0.438  0.193  0.000
Ac  0.562  0.807  0.000
Ac  0.739  0.261  0.500
Ac  0.807  0.562  0.000
Sm  0.500  0.500  0.500
Y  0.202  0.798  0.000
Y  0.798  0.202  0.000

Results
Final energy: -0.1471 Ha/atom
Symmetry: Cmmm
Total magnetization: 0.00 μB per cell
ΔE_f: 61 kJ per mole of atoms
Mass density: 6.2 Mg/m³


(19)
VASP calculation (PBE-GGA) on an optimized crystal structure of RbLa2AuO.

Unit cell a=5.996 b=5.996 c=4.610 alpha=90.00 beta=90.00 gamma=90.00
Element x y z (fractional)
Rb  0.000  0.000  0.000
La  0.000  0.500  0.500
La  0.500  0.000  0.500
Au  0.500  0.500  0.500
O  0.500  0.500  0.000

Results
Raw formation energy: 0.28 eV/atom
Final energy: -0.1299 Ha/atom
Symmetry: P4/mmm
Total magnetization: 1.22 μB per cell
Mass density: 5.8 Mg/m³